Crystalline HgTe2IO at its relaxed geometry. Source: the Alexandria database, functional GGA-PBEsol.

Geometry as POSCAR:
```
HgTe2IO
1.0
5.571 0.000 0.000
0.000 5.571 0.000
0.000 0.000 5.784
Hg Te I O
1 2 1 1
Direct
0.000 0.000 0.000
0.000 0.500 0.000
0.500 0.000 0.000
0.000 0.000 0.500
0.500 0.500 0.500
```

## Properties
- Density of states at the Fermi level: 9.15 states/eV/cell
- Spin magnetization: 3.27 μB/cell
- Raw total energy: -1.850 eV per atom
- Formation energy from raw total energies: 1.0775 eV/atom

***

Crystalline YHgIO2 at its relaxed geometry. Source: the Alexandria database, functional GGA-PBEsol.

Geometry as POSCAR:
```
YHgIO2
1.0
4.329 0.000 0.000
0.000 4.329 0.000
0.000 0.000 5.497
Y Hg I O
1 1 1 2
Direct
0.000 0.000 0.000
0.500 0.500 0.500
0.500 0.500 0.000
0.000 0.500 0.500
0.500 0.000 0.500
```

## Properties
- Density of states at the Fermi level: 1.47 states/eV/cell
- Spin magnetization: 0.00 μB/cell
- Raw total energy: -4.154 eV per atom
- Formation energy from raw total energies: -0.2233 eV/atom

***

Crystalline ZnHgI2O at its relaxed geometry. Source: the Alexandria database, functional GGA-PBEsol.

Geometry as POSCAR:
```
ZnHgI2O
1.0
6.041 0.000 0.000
0.000 6.041 0.000
0.000 0.000 3.497
Zn Hg I O
1 1 2 1
Direct
0.000 0.000 0.000
0.500 0.500 0.500
0.000 0.500 0.000
0.500 0.000 0.000
0.000 0.000 0.500
```

## Properties
- Density of states at the Fermi level: 6.94 states/eV/cell
- Spin magnetization: 0.37 μB/cell
- Raw total energy: -2.337 eV per atom
- Formation energy from raw total energies: -0.1502 eV/atom

***

Crystalline Hg3OsI at its relaxed geometry. Source: the Alexandria database, functional GGA-PBEsol.

Geometry as POSCAR:
```
Hg3OsI
1.0
5.238 0.000 0.000
0.000 5.238 0.000
0.000 0.000 5.238
Hg Os I
3 1 1
Direct
0.000 0.000 0.500
0.000 0.500 0.000
0.500 0.000 0.000
0.000 0.000 0.000
0.500 0.500 0.500
```

## Properties
- Density of states at the Fermi level: 5.79 states/eV/cell
- Spin magnetization: 1.73 μB/cell
- Raw total energy: -2.375 eV per atom
- Formation energy from raw total energies: 0.7616 eV/atom

***

Crystalline HgOs2I at its relaxed geometry. Source: the Alexandria database, functional GGA-PBEsol.

Geometry as POSCAR:
```
HgOs2I
1.0
0.000 3.258 3.258
3.258 0.000 3.258
3.258 3.258 0.000
Hg Os I
1 2 1
Direct
0.000 0.000 0.000
0.250 0.250 0.250
0.750 0.750 0.750
0.500 0.500 0.500
```

## Properties
- Density of states at the Fermi level: 3.12 states/eV/cell
- Spin magnetization: 0.00 μB/cell
- Raw total energy: -5.246 eV per atom
- Formation energy from raw total energies: 1.4450 eV/atom

***

Crystalline Hg2PI at its relaxed geometry. Source: the Alexandria database, functional GGA-PBEsol.

Geometry as POSCAR:
```
Hg2PI
1.0
-3.149 3.149 6.342
3.149 -3.149 6.342
3.149 3.149 -6.342
Hg P I
4 2 2
Direct
0.025 0.625 0.900
0.375 0.275 0.400
0.725 0.125 0.100
0.875 0.975 0.600
0.000 0.000 0.000
0.750 0.250 0.500
0.250 0.750 0.500
0.500 0.500 0.000
```

## Properties
- Spin magnetization: 0.00 μB/cell
- Raw total energy: -2.251 eV per atom
- Formation energy from raw total energies: -0.0780 eV/atom

***

Crystalline HgPS2I at its relaxed geometry. Source: the Alexandria database, functional GGA-PBEsol.

Geometry as POSCAR:
```
HgPS2I
1.0
4.964 0.000 0.000
0.000 4.964 0.000
0.000 0.000 5.278
Hg P S I
1 1 2 1
Direct
0.000 0.000 0.000
0.500 0.500 0.000
0.000 0.500 0.500
0.500 0.000 0.500
0.500 0.500 0.500
```

## Properties
- Density of states at the Fermi level: 5.78 states/eV/cell
- Spin magnetization: 0.00 μB/cell
- Raw total energy: -2.297 eV per atom
- Formation energy from raw total energies: 1.0821 eV/atom

***

Crystalline HgTe2PI at its relaxed geometry. Source: the Alexandria database, functional GGA-PBEsol.

Geometry as POSCAR:
```
HgTe2PI
1.0
5.557 0.000 0.000
0.000 5.557 0.000
0.000 0.000 5.563
Hg Te P I
1 2 1 1
Direct
0.000 0.000 0.000
0.000 0.500 0.000
0.500 0.000 0.000
0.500 0.500 0.500
0.000 0.000 0.500
```

## Properties
- Density of states at the Fermi level: 4.28 states/eV/cell
- Spin magnetization: 1.26 μB/cell
- Raw total energy: -1.991 eV per atom
- Formation energy from raw total energies: 1.0446 eV/atom